PBE-GGA SbRuPt2, optimized geometry; E_form (uncorrected) = 73 meV/atom; magnetic moment = 0.455 μB per atom; raw total energy = -6.297 eV per atom
1.0
5.069 0.112 0.000
1.844 4.723 0.000
-3.456 -2.417 2.814
Pt Ru Sb
2 1 1
Direct
0.000 0.000 0.000 Pt
0.500 0.500 0.000 Pt
0.250 0.750 0.500 Ru
0.750 0.250 0.500 Sb

---

PBE-GGA ZrPtCl2, optimized geometry; E_form (uncorrected) = -230 meV/atom; magnetic moment = 0.000 μB per atom; raw total energy = -4.800 eV per atom; relative energy among the computed polymorphs = 0.933 eV per atom
1.0
-0.247 4.511 -1.112
-4.147 2.048 -0.504
-1.464 3.095 3.149
Zr Pt Cl
1 1 2
Direct
0.500 0.500 0.500 Zr
0.000 0.000 0.000 Pt
0.250 0.250 0.250 Cl
0.750 0.750 0.750 Cl

---

PBE-GGA Li5Se3, optimized geometry; E_form (uncorrected) = -1084 meV/atom; magnetic moment = 0.000 μB per atom; raw total energy = -3.587 eV per atom
1.0
7.679 -0.152 0.000
-5.864 4.961 0.000
-0.908 -2.404 7.232
Li Se
10 6
Direct
0.249 0.749 0.500 Li
0.749 0.249 0.500 Li
0.776 0.086 0.862 Li
0.224 0.915 0.138 Li
0.724 0.586 0.310 Li
0.276 0.415 0.691 Li
0.586 0.277 0.862 Li
0.415 0.725 0.138 Li
0.086 0.225 0.309 Li
0.915 0.777 0.690 Li
0.750 0.750 0.000 Se
0.250 0.250 0.000 Se
0.346 0.152 0.500 Se
0.651 0.846 0.500 Se
0.151 0.652 0.806 Se
0.846 0.346 0.194 Se

---

PBE-GGA Y2AlTl, optimized geometry; magnetic moment = 0.000 μB per atom; raw total energy = -4.762 eV per atom; energy of formation from the pure elements = -0.003 eV per atom
1.0
8.176 0.000 0.000
0.000 8.176 0.000
4.088 4.088 3.398
Y Tl Al
4 2 2
Direct
0.616 0.125 0.250 Y
0.134 0.625 0.250 Y
0.375 0.384 0.750 Y
0.875 0.866 0.750 Y
0.000 0.000 0.000 Tl
0.750 0.250 0.500 Tl
0.500 0.500 0.000 Al
0.250 0.750 0.500 Al

---

PBE-GGA NdPa3P4N12, optimized geometry; E_form (uncorrected) = -859 meV/atom; magnetic moment = 0.000 μB per atom; raw total energy = -8.599 eV per atom
1.0
6.926 0.025 0.034
-1.645 6.728 0.034
-1.645 -2.103 6.391
Nd Pa P N
1 3 4 12
Direct
0.000 0.000 0.000 Nd
0.541 0.459 0.000 Pa
0.459 0.000 0.541 Pa
0.000 0.541 0.459 Pa
0.958 0.042 0.500 P
0.042 0.500 0.958 P
0.500 0.958 0.042 P
0.500 0.500 0.500 P
0.500 0.353 0.647 N
0.895 0.500 0.105 N
0.105 0.895 0.500 N
0.500 0.105 0.895 N
0.360 0.973 0.192 N
0.192 0.360 0.973 N
0.973 0.192 0.360 N
0.640 0.808 0.027 N
0.027 0.640 0.808 N
0.808 0.027 0.640 N
0.647 0.500 0.353 N
0.353 0.647 0.500 N